1.
A plane-wave DFT calculation with PBE was carried out for PmTm5Sn3 after structural relaxation.

Computed properties:
crystal system	tetragonal
E_form	-221	meV/atom
N(E_F)	1.171	states/eV per atom
symmetry	I4/mcm (140)

Cell lengths 7.4097, 7.4097, 10.9249 Å; angles 109.82, 109.82, 90.00 degrees
Last column: nearest neighbours and their distance in Å.
Atoms (fractional coordinates):
Tm 0.0701 0.5701 0.7523  1 Sn 3.01, 1 Pm 3.16
Tm 0.5701 0.6822 0.7523  1 Sn 3.01, 1 Pm 3.16
Tm 0.0000 0.0000 0.0000  4 Sn 2.91
Tm 0.3178 0.8178 0.2477  1 Sn 3.01, 1 Pm 3.16
Tm 0.8178 0.9299 0.2477  1 Sn 3.01, 1 Pm 3.16
Tm 0.9299 0.4299 0.2477  1 Sn 3.01, 1 Pm 3.16
Tm 0.4299 0.3178 0.2477  1 Sn 3.01, 1 Pm 3.16
Tm 0.1822 0.0701 0.7523  1 Sn 3.01, 1 Pm 3.16
Tm 0.6822 0.1822 0.7523  1 Sn 3.01, 1 Pm 3.16
Tm 0.5000 0.5000 0.0000  4 Sn 2.91
Sn 0.8708 0.6292 0.0000  1 Sn 2.71, 4 Tm 2.91-3.01
Sn 0.7500 0.7500 0.5000  8 Tm 3.61, 4 Pm 3.70
Sn 0.1292 0.3708 0.0000  1 Sn 2.71, 4 Tm 2.91-3.01
Sn 0.2500 0.2500 0.5000  8 Tm 3.61, 4 Pm 3.70
Sn 0.6292 0.1292 0.0000  1 Sn 2.71, 4 Tm 2.91-3.01
Sn 0.3708 0.8708 0.0000  1 Sn 2.71, 4 Tm 2.91-3.01
Pm 0.7500 0.2500 0.5000  4 Tm 3.16
Pm 0.2500 0.7500 0.5000  4 Tm 3.16

***

2.
A plane-wave DFT calculation with PBE was carried out for Sm5AlGe2 after structural relaxation.

Computed properties:
crystal system	tetragonal
E_form	-564	meV/atom
N(E_F)	0.858	states/eV per atom
symmetry	I4/mcm (140)

Cell lengths 7.8637, 7.8637, 9.0320 Å; angles 115.81, 115.81, 90.00 degrees
Last column: nearest neighbours and their distance in Å.
Atoms (fractional coordinates):
Ge 0.6284 0.1284 0.0000  1 Ge 2.86, 8 Sm 3.02-3.13
Ge 0.8716 0.6284 0.0000  1 Ge 2.86, 8 Sm 3.02-3.13
Ge 0.1284 0.3716 0.0000  1 Ge 2.86, 8 Sm 3.02-3.13
Ge 0.3716 0.8716 0.0000  1 Ge 2.86, 8 Sm 3.02-3.13
Sm 0.9715 0.4715 0.2858  3 Ge 3.02-3.13, 2 Al 3.29
Sm 0.5285 0.6856 0.7142  3 Ge 3.02-3.13, 2 Al 3.29
Sm 0.4715 0.3144 0.2858  3 Ge 3.02-3.13, 2 Al 3.29
Sm 0.6856 0.1856 0.7142  3 Ge 3.02-3.13, 2 Al 3.29
Sm 0.5000 0.5000 0.0000  4 Ge 3.09
Sm 0.0285 0.5285 0.7142  3 Ge 3.02-3.13, 2 Al 3.29
Sm 0.3144 0.8144 0.2858  3 Ge 3.02-3.13, 2 Al 3.29
Sm 0.8144 0.9715 0.2858  3 Ge 3.02-3.13, 2 Al 3.29
Sm 0.1856 0.0285 0.7142  3 Ge 3.02-3.13, 2 Al 3.29
Sm 0.0000 0.0000 0.0000  4 Ge 3.09
Al 0.7500 0.7500 0.5000  10 Sm 3.29-3.56
Al 0.2500 0.2500 0.5000  10 Sm 3.29-3.56